Arrangement 1

# PBE Pu2RePt, optimized geometry
data_Pu2RePt
_cell_length_a 3.350
_cell_length_b 3.350
_cell_length_c 7.232
_cell_angle_alpha 90.00
_cell_angle_beta 90.00
_cell_angle_gamma 90.00
_space_group_name_H-M_alt 'P 1'
_space_group_IT_number 1
loop_
_space_group_symop_operation_xyz
'x,y,z'
loop_
_atom_site_label
_atom_site_type_symbol
_atom_site_fract_x
_atom_site_fract_y
_atom_site_fract_z
Pt1 Pt 0.500 0.500 0.500
Pu1 Pu 0.000 0.000 0.243
Re1 Re 0.500 0.500 0.000
Pu2 Pu 0.000 0.000 0.757
# **D(E_F)**: 3.04 states/eV/atom



Arrangement 2

# PBE Pu2RePt, optimized geometry
data_Pu2RePt
_cell_length_a 2.872
_cell_length_b 2.872
_cell_length_c 10.815
_cell_angle_alpha 82.37
_cell_angle_beta 82.37
_cell_angle_gamma 60.00
_space_group_name_H-M_alt 'P 1'
_space_group_IT_number 1
loop_
_space_group_symop_operation_xyz
'x,y,z'
loop_
_atom_site_label
_atom_site_type_symbol
_atom_site_fract_x
_atom_site_fract_y
_atom_site_fract_z
Pt1 Pt 0.500 0.500 0.500
Re1 Re 0.000 0.000 0.000
Pu1 Pu 0.086 0.086 0.743
Pu2 Pu 0.914 0.914 0.257
# **D(E_F)**: 2.03 states/eV/atom



Most stable structure: arrangement 1